# CaTlCl6

An optimized crystal structure of CaTlCl6 (PBE, Alexandria via LeMat-Bulk).

Values from the calculation:
**Spin magnetization**: 0.13 μB/atom
**Energy relative to the elements, uncorrected**: -1.08 eV per atom

a b c (Å): 6.6310 6.7904 6.8947
angles (deg): 114.08 93.90 118.34
With the nearest neighbours (Å) after each atom.
Fractional positions:
Ca: 0.0000 0.0000 0.0000  6 Cl 2.73-2.87
Tl: 0.5000 0.0000 0.5000  4 Cl 2.53-2.59
Cl: 0.0617 0.4956 0.1847  1 Cl 2.66, 1 Ca 2.87, 1 Tl 2.92
Cl: 0.2553 0.1405 0.7344  1 Tl 2.59, 1 Ca 2.73
Cl: 0.4491 0.1972 0.2745  1 Tl 2.53, 1 Ca 2.76
Cl: 0.5509 0.8028 0.7255  1 Tl 2.53, 1 Ca 2.76
Cl: 0.7447 0.8595 0.2656  1 Tl 2.59, 1 Ca 2.73
Cl: 0.9383 0.5044 0.8153  1 Cl 2.66, 1 Ca 2.87, 1 Tl 2.92